# TcOs3, relaxed, DFT PBEsol
data_TcOs3
_symmetry_space_group_name_H-M 'P m m 2'
_symmetry_Int_Tables_number 25
_cell_length_a 2.732
_cell_length_b 4.317
_cell_length_c 4.734
_cell_angle_alpha 90.00
_cell_angle_beta 90.00
_cell_angle_gamma 90.00
loop_
_symmetry_equiv_pos_as_xyz
'x,y,z'
'-x,-y,z'
'-x,y,z'
'x,-y,z'
loop_
_atom_site_label
_atom_site_fract_x
_atom_site_fract_y
_atom_site_fract_z
Tc1 0.000 0.000 0.000
Os1 0.000 0.500 0.668
Os2 0.500 0.000 0.502
Os3 0.500 0.500 0.167
# E_form: -7 kJ/mol of atoms
# Relative energy among the computed polymorphs: 0.0 meV/atom
# Density: 19891 kg/m³